No. 1
PBE-GGA TbCeAs2O8, optimized geometry; formation energy (no corrections) = -2.298 eV/atom; symmetry = I-4; M_tot = 1.01 μB per formula unit; density of states at the Fermi level = 5.4 states/eV/f.u.
1.0
-2.5692 2.5692 5.7854
2.5692 -2.5692 5.7854
2.5692 2.5692 -5.7854
Tb Ce As O
1 1 2 8
Direct
0.0000 0.0000 0.0000 Tb
0.7500 0.2500 0.5000 Ce
0.2500 0.7500 0.5000 As
0.5000 0.5000 0.0000 As
0.0328 0.9202 0.6127 O
0.0798 0.6925 0.1126 O
0.1738 0.2749 0.6017 O
0.3075 0.4201 0.3873 O
0.4279 0.8262 0.1011 O
0.5799 0.9672 0.8874 O
0.6732 0.5721 0.3983 O
0.7251 0.3268 0.8989 O


No. 2
PBE-GGA CsLi2Fe, optimized geometry; symmetry = Fm-3m; M_tot = 2.34 μB per formula unit; calculated total energy = -9.6 eV for the cell shown; density of states at the Fermi level = 6.8 states/eV/f.u.
1.0
0.0000 3.8384 3.8384
3.8384 0.0000 3.8384
3.8384 3.8384 0.0000
Cs Li Fe
1 2 1
Direct
0.0000 0.0000 0.0000 Cs
0.2500 0.2500 0.2500 Li
0.7500 0.7500 0.7500 Li
0.5000 0.5000 0.5000 Fe


No. 3
PBE-GGA Ba2LiHg, optimized geometry; symmetry = R3m; M_tot = 0.00 μB per formula unit; calculated total energy = -7.1 eV for the cell shown; density of states at the Fermi level = 3.5 states/eV/f.u.
1.0
2.4468 1.4127 8.3485
-2.4468 1.4127 8.3485
0.0000 -2.8254 8.3485
Ba Li Hg
2 1 1
Direct
0.0000 0.0000 0.0000 Ba
0.1796 0.1796 0.1796 Ba
0.4230 0.4230 0.4230 Li
0.7560 0.7560 0.7560 Hg


No. 4
PBE-GGA CaZnAgPd, optimized geometry; symmetry = Cm; M_tot = 0.00 μB per formula unit; calculated total energy = -13.0 eV for the cell shown; density of states at the Fermi level = 2.0 states/eV/f.u.
1.0
3.8975 -2.2544 0.0000
3.8975 2.2544 0.0000
-2.6239 0.0000 4.8004
Ca Zn Ag Pd
1 1 1 1
Direct
0.0000 0.0000 0.0000 Ca
0.4814 0.4814 0.4441 Zn
0.2096 0.2096 0.6276 Ag
0.7936 0.7936 0.3813 Pd


No. 5
PBE-GGA TaTeSe, optimized geometry; formation energy (no corrections) = -0.546 eV/atom; symmetry = P3m1; M_tot = 0.00 μB per formula unit; energy relative to the lowest polymorph listed for this composition = 0.9 kJ per mole of atoms; density of states at the Fermi level = 2.1 states/eV/f.u.
1.0
3.5864 0.0000 0.0000
-1.7932 3.1059 0.0000
0.0000 0.0000 6.9816
Ta Te Se
1 1 1
Direct
0.0000 0.0000 0.0000 Ta
0.6667 0.3333 0.2722 Te
0.3333 0.6667 0.7710 Se


No. 6
PBE-GGA LaAl2BIr, optimized geometry; symmetry = P4/mmm; M_tot = 0.00 μB per formula unit; calculated total energy = -26.3 eV for the cell shown; density of states at the Fermi level = 6.2 states/eV/f.u.
1.0
4.7115 0.0000 0.0000
0.0000 4.7115 0.0000
0.0000 0.0000 5.4915
La Al B Ir
1 2 1 1
Direct
0.0000 0.0000 0.0000 La
0.0000 0.5000 0.5000 Al
0.5000 0.0000 0.5000 Al
0.5000 0.5000 0.0000 B
0.0000 0.0000 0.5000 Ir


No. 7
PBE-GGA TcAu2IN, optimized geometry; formation energy (no corrections) = 1.795 eV/atom; symmetry = P4/mmm; M_tot = 5.08 μB per formula unit; density of states at the Fermi level = 3.9 states/eV/f.u.
1.0
5.2099 0.0000 0.0000
0.0000 5.2099 0.0000
0.0000 0.0000 5.1913
Tc Au I N
1 2 1 1
Direct
0.0000 0.0000 0.0000 Tc
0.0000 0.5000 0.0000 Au
0.5000 0.0000 0.0000 Au
0.0000 0.0000 0.5000 I
0.5000 0.5000 0.5000 N


No. 8
PBE-GGA Ca2SnS4, optimized geometry; formation energy (no corrections) = -1.271 eV/atom; symmetry = P2_1/m; M_tot = 0.00 μB per formula unit; energy relative to the lowest polymorph listed for this composition = 12.2 kJ per mole of atoms; density of states at the Fermi level = 0.0 states/eV/f.u.
1.0
6.8512 0.0000 0.0000
0.0000 7.0046 0.0000
-2.2402 0.0000 7.4345
Ca Sn S
4 2 8
Direct
0.2095 0.2500 0.0540 Ca
0.2207 0.2500 0.5531 Ca
0.7793 0.7500 0.4469 Ca
0.7905 0.7500 0.9460 Ca
0.2648 0.7500 0.8138 Sn
0.7352 0.2500 0.1862 Sn
0.0098 0.0025 0.7493 S
0.0098 0.4975 0.7493 S
0.4680 0.7500 0.6147 S
0.4702 0.7500 0.1169 S
0.5298 0.2500 0.8831 S
0.5320 0.2500 0.3853 S
0.9902 0.5025 0.2507 S
0.9902 0.9975 0.2507 S


No. 9
PBE-GGA LuPaMnRh, optimized geometry; symmetry = F-43m; M_tot = 0.02 μB per formula unit; calculated total energy = -31.6 eV for the cell shown; density of states at the Fermi level = 2.7 states/eV/f.u.
1.0
0.0000 3.3654 3.3654
3.3654 0.0000 3.3654
3.3654 3.3654 0.0000
Lu Pa Mn Rh
1 1 1 1
Direct
0.0000 0.0000 0.0000 Lu
0.5000 0.5000 0.5000 Pa
0.7500 0.7500 0.7500 Mn
0.2500 0.2500 0.2500 Rh


No. 10
PBE-GGA PmAlIr2, optimized geometry; symmetry = Fm-3m; M_tot = 0.00 μB per formula unit; energy relative to the lowest polymorph listed for this composition = 14.3 kJ per mole of atoms; density of states at the Fermi level = 1.2 states/eV/f.u.
1.0
0.0000 3.2971 3.2971
3.2971 0.0000 3.2971
3.2971 3.2971 0.0000
Pm Al Ir
1 1 2
Direct
0.0000 0.0000 0.0000 Pm
0.5000 0.5000 0.5000 Al
0.2500 0.2500 0.2500 Ir
0.7500 0.7500 0.7500 Ir


No. 11
PBE-GGA TmB6Mo2, optimized geometry; symmetry = P6/mmm; M_tot = 0.00 μB per formula unit; energy relative to the lowest polymorph listed for this composition = 1.0 kJ per mole of atoms; density of states at the Fermi level = 3.7 states/eV/f.u.
1.0
5.3493 0.0000 0.0000
-2.6747 4.6327 0.0000
0.0000 0.0000 3.4654
Tm B Mo
1 6 2
Direct
0.0000 0.0000 0.0000 Tm
0.0000 0.3390 0.5000 B
0.0000 0.6610 0.5000 B
0.3390 0.0000 0.5000 B
0.3390 0.3390 0.5000 B
0.6610 0.0000 0.5000 B
0.6610 0.6610 0.5000 B
0.3333 0.6667 0.0000 Mo
0.6667 0.3333 0.0000 Mo


No. 12
PBE-GGA LuHgPdPt, optimized geometry; symmetry = F-43m; M_tot = 0.00 μB per formula unit; calculated total energy = -19.1 eV for the cell shown; density of states at the Fermi level = 1.8 states/eV/f.u.
1.0
0.0000 3.3566 3.3566
3.3566 0.0000 3.3566
3.3566 3.3566 0.0000
Lu Hg Pd Pt
1 1 1 1
Direct
0.0000 0.0000 0.0000 Lu
0.5000 0.5000 0.5000 Hg
0.7500 0.7500 0.7500 Pd
0.2500 0.2500 0.2500 Pt


No. 13
PBE-GGA CrSn2As2, optimized geometry; symmetry = P4/mbm; M_tot = 3.30 μB per formula unit; calculated total energy = -53.1 eV for the cell shown; density of states at the Fermi level = 2.4 states/eV/f.u.
1.0
6.3782 0.0000 0.0000
0.0000 6.3782 0.0000
0.0000 0.0000 5.8472
Cr Sn As
2 4 4
Direct
0.0000 0.0000 0.0000 Cr
0.5000 0.5000 0.0000 Cr
0.1924 0.3076 0.5000 Sn
0.3076 0.8076 0.5000 Sn
0.6924 0.1924 0.5000 Sn
0.8076 0.6924 0.5000 Sn
0.1354 0.3646 0.0000 As
0.3646 0.8646 0.0000 As
0.6354 0.1354 0.0000 As
0.8646 0.6354 0.0000 As